(1)
Here is Nd3TmP4 after structural relaxation from Alexandria via LeMat-Bulk. Energies are from PBE-GGA.

## Properties
The formation energy is -1540 meV/atom. As for the symmetry: P2/c (13).

a = 7.1245 Å, b = 8.2375 Å, c = 7.1267 Å
α = 90.00°, β = 109.51°, γ = 90.00°
With the nearest neighbours (Å) after each atom.
Element x y z (fractional)
Nd (0.0000, 0.1240, 0.2500)  6 P 2.90-2.97
Nd (0.0000, 0.3734, 0.7500)  6 P 2.91-2.97
Nd (0.0000, 0.6266, 0.2500)  6 P 2.91-2.97
Nd (0.0000, 0.8760, 0.7500)  6 P 2.90-2.97
Nd (0.5000, 0.3736, 0.2500)  6 P 2.91-2.92
Nd (0.5000, 0.6264, 0.7500)  6 P 2.91-2.92
Tm (0.5000, 0.1238, 0.7500)  6 P 2.85-2.86
Tm (0.5000, 0.8762, 0.2500)  6 P 2.85-2.86
P (0.2542, 0.3702, 0.5049)  1 Tm 2.86, 5 Nd 2.91-2.97
P (0.2542, 0.6298, 0.0049)  1 Tm 2.86, 5 Nd 2.91-2.97
P (0.2593, 0.1199, 0.9996)  2 Tm 2.85, 4 Nd 2.90-2.97
P (0.2593, 0.8801, 0.4996)  2 Tm 2.85, 4 Nd 2.90-2.97
P (0.7407, 0.1199, 0.5004)  2 Tm 2.85, 4 Nd 2.90-2.97
P (0.7407, 0.8801, 0.0004)  2 Tm 2.85, 4 Nd 2.90-2.97
P (0.7458, 0.3702, 0.9951)  1 Tm 2.86, 5 Nd 2.91-2.97
P (0.7458, 0.6298, 0.4951)  1 Tm 2.86, 5 Nd 2.91-2.97

(2)
Here is Cs2Rb4I after structural relaxation from Alexandria via LeMat-Bulk. Energies are from PBE-GGA.

## Properties
The value obtained for the energy relative to the elements, uncorrected is -0.336 eV per atom. As for the symmetry: I4/mmm (139).

a = 14.1061 Å, b = 14.1061 Å, c = 14.1061 Å
α = 150.41°, β = 150.41°, γ = 42.34°
With the nearest neighbours (Å) after each atom.
Element x y z (fractional)
Cs (0.1731, 0.1731, 0.0000)  5 Rb 4.88-5.16
Cs (0.8269, 0.8269, 0.0000)  5 Rb 4.88-5.16
Rb (0.0000, 0.5000, 0.5000)  2 I 3.60
Rb (0.3585, 0.3585, 0.0000)  1 I 3.72
Rb (0.5000, 0.0000, 0.5000)  2 I 3.60
Rb (0.6415, 0.6415, 0.0000)  1 I 3.72
I (0.5000, 0.5000, 0.0000)  6 Rb 3.60-3.72

(3)
Here is Nd8Ho3 after structural relaxation from Alexandria via LeMat-Bulk. Energies are from PBE-GGA.

## Properties
The excess energy over the best structure of this formula in the dataset comes out at 0.00 kcal/mol of atoms. The formation energy is 349 meV/atom. As for the symmetry: R-3 (148).

a = 7.6372 Å, b = 7.6372 Å, c = 7.6372 Å
α = 105.37°, β = 105.37°, γ = 105.37°
With the nearest neighbours (Å) after each atom.
Element x y z (fractional)
Nd (0.1825, 0.5732, 0.6760)  3 Nd 3.00-3.19, 2 Ho 3.24-3.31
Nd (0.2270, 0.2270, 0.2270)  3 Ho 3.55, 3 Nd 3.89
Nd (0.3240, 0.8175, 0.4268)  3 Nd 3.00-3.19, 2 Ho 3.24-3.31
Nd (0.4268, 0.3240, 0.8175)  3 Nd 3.00-3.19, 2 Ho 3.24-3.31
Nd (0.5732, 0.6760, 0.1825)  3 Nd 3.00-3.19, 2 Ho 3.24-3.31
Nd (0.6760, 0.1825, 0.5732)  3 Nd 3.00-3.19, 2 Ho 3.24-3.31
Nd (0.7730, 0.7730, 0.7730)  3 Ho 3.55, 3 Nd 3.89
Nd (0.8175, 0.4268, 0.3240)  3 Nd 3.00-3.19, 2 Ho 3.24-3.31
Ho (0.0000, 0.0000, 0.5000)  6 Nd 3.24-3.55
Ho (0.0000, 0.5000, 0.0000)  6 Nd 3.24-3.55
Ho (0.5000, 0.0000, 0.0000)  6 Nd 3.24-3.55

(4)
Here is LiTmSi2Au2 after structural relaxation from Alexandria via LeMat-Bulk. Energies are from PBE-GGA.

## Properties
The value obtained for the energy relative to the elements, uncorrected is -0.574 eV per atom. As for the symmetry: P-3m1 (164).

a = 4.3067 Å, b = 4.3067 Å, c = 6.5678 Å
α = 90.00°, β = 90.00°, γ = 120.00°
With the nearest neighbours (Å) after each atom.
Element x y z (fractional)
Li (0.0000, 0.0000, 0.0000)  6 Au 2.83, 6 Si 2.88
Tm (0.0000, 0.0000, 0.5000)  6 Si 3.08, 6 Au 3.15, 2 Li 3.28
Si (0.3333, 0.6667, 0.2228)  3 Au 2.49
Si (0.6667, 0.3333, 0.7772)  3 Au 2.49
Au (0.3333, 0.6667, 0.7954)  3 Si 2.49
Au (0.6667, 0.3333, 0.2046)  3 Si 2.49

(5)
Here is Cs3RbBr after structural relaxation from Alexandria via LeMat-Bulk. Energies are from PBE-GGA.

## Properties
The excess energy over the best structure of this formula in the dataset comes out at 0.00 kcal/mol of atoms. The value obtained for the energy relative to the elements, uncorrected is -0.682 eV per atom. As for the symmetry: Pm-3m (221).

a = 7.4201 Å, b = 7.4201 Å, c = 7.4201 Å
α = 90.00°, β = 90.00°, γ = 90.00°
With the nearest neighbours (Å) after each atom.
Element x y z (fractional)
Cs (0.0000, 0.0000, 0.5000)  2 Br 3.71
Cs (0.0000, 0.5000, 0.0000)  2 Br 3.71
Cs (0.5000, 0.0000, 0.0000)  2 Br 3.71
Rb (0.5000, 0.5000, 0.5000)  12 Cs 5.25
Br (0.0000, 0.0000, 0.0000)  6 Cs 3.71

(6)
Here is Li2ScNiP after structural relaxation from Alexandria via LeMat-Bulk. Energies are from PBE-GGA.

## Properties
The formation energy is 1022 meV/atom. As for the symmetry: P4/mmm (123).

a = 4.9837 Å, b = 4.9837 Å, c = 4.2585 Å
α = 90.00°, β = 90.00°, γ = 90.00°
With the nearest neighbours (Å) after each atom.
Element x y z (fractional)
Li (0.0000, 0.5000, 0.0000)  2 Sc 2.49
Li (0.5000, 0.0000, 0.0000)  2 Sc 2.49
Sc (0.0000, 0.0000, 0.0000)  2 Ni 2.13
Ni (0.0000, 0.0000, 0.5000)  2 Sc 2.13
P (0.5000, 0.5000, 0.5000)  8 Li 3.28, 4 Ni 3.52